--- P ---
Here is a geometry-optimized Er3InRh structure from the Alexandria database. Energies are from PBE-GGA.

Unit cell a=6.488 b=6.488 c=9.006 alpha=110.55 beta=110.55 gamma=49.30
Atoms (fractional coordinates):
Er  0.109  0.109  0.400
Er  0.342  0.342  0.842
Er  0.389  0.389  0.272
Er  0.611  0.611  0.728
Er  0.658  0.658  0.158
Er  0.891  0.891  0.600
In  0.111  0.111  0.957
In  0.889  0.889  0.043
Rh  0.359  0.359  0.553
Rh  0.641  0.641  0.447

Results
* total moment: 0.0 Bohr magnetons per cell


--- Q ---
Here is a geometry-optimized Er3InRh structure from the Alexandria database. Energies are from PBE-GGA.

Unit cell a=9.042 b=9.042 c=7.154 alpha=90.00 beta=90.00 gamma=71.86
Atoms (fractional coordinates):
Er  0.131  0.131  0.000
Er  0.131  0.131  0.500
Er  0.190  0.525  0.507
Er  0.190  0.525  0.993
Er  0.475  0.810  0.507
Er  0.475  0.810  0.993
Er  0.525  0.190  0.007
Er  0.525  0.190  0.493
Er  0.810  0.475  0.007
Er  0.810  0.475  0.493
Er  0.869  0.869  0.000
Er  0.869  0.869  0.500
In  0.180  0.820  0.250
In  0.496  0.504  0.250
In  0.504  0.496  0.750
In  0.820  0.180  0.750
Rh  0.070  0.370  0.250
Rh  0.370  0.070  0.750
Rh  0.630  0.930  0.250
Rh  0.930  0.630  0.750

Results
* total moment: 0.0 Bohr magnetons per cell


In meV/atom, relative to the most stable structure: P 0; Q 70.


--- P ---
Here is a geometry-optimized Er2InRh structure from the Alexandria database. Energies are from PBE-GGA.

Unit cell a=3.501 b=3.501 c=7.454 alpha=90.00 beta=90.00 gamma=90.00
Atoms (fractional coordinates):
Er  0.000  0.000  0.217
Er  0.000  0.000  0.783
In  0.500  0.500  0.500
Rh  0.500  0.500  0.000

Results
* total moment: 0.0 Bohr magnetons per cell


--- Q ---
Here is a geometry-optimized Er2InRh structure from the Alexandria database. Energies are from PBE-GGA.

Unit cell a=5.051 b=5.051 c=5.051 alpha=60.00 beta=60.00 gamma=60.00
Atoms (fractional coordinates):
Er  0.250  0.250  0.250
Er  0.750  0.750  0.750
In  0.000  0.000  0.000
Rh  0.500  0.500  0.500

Results
* total moment: 0.0 Bohr magnetons per cell


In meV/atom, relative to the most stable structure: P 0; Q 120.


--- P ---
Here is a geometry-optimized Er2InRh3 structure from the Alexandria database. Energies are from PBE-GGA.

Unit cell a=6.012 b=6.012 c=6.012 alpha=134.95 beta=126.27 gamma=72.66
Atoms (fractional coordinates):
Er  0.178  0.178  0.000
Er  0.822  0.822  0.000
In  0.500  0.500  0.000
Rh  0.000  0.500  0.500
Rh  0.352  0.852  0.500
Rh  0.648  0.148  0.500

Results
* total moment: 0.0 Bohr magnetons per cell


--- Q ---
Here is a geometry-optimized Er2InRh3 structure from the Alexandria database. Energies are from PBE-GGA.

Unit cell a=4.715 b=4.715 c=11.557 alpha=90.00 beta=90.00 gamma=120.00
Atoms (fractional coordinates):
Er  0.000  0.000  0.000
Er  0.000  0.000  0.500
Er  0.333  0.667  0.177
Er  0.667  0.333  0.823
In  0.333  0.667  0.665
In  0.667  0.333  0.335
Rh  0.000  0.000  0.251
Rh  0.000  0.000  0.749
Rh  0.333  0.667  0.420
Rh  0.333  0.667  0.916
Rh  0.667  0.333  0.084
Rh  0.667  0.333  0.580

Results
* total moment: 0.0 Bohr magnetons per cell


In meV/atom, relative to the most stable structure: P 355; Q 0.


--- P ---
Here is a geometry-optimized Er4InRh structure from the Alexandria database. Energies are from PBE-GGA.

Unit cell a=9.568 b=9.568 c=9.568 alpha=60.00 beta=60.00 gamma=60.00
Atoms (fractional coordinates):
Er  0.188  0.188  0.812
Er  0.188  0.812  0.188
Er  0.188  0.812  0.812
Er  0.400  0.400  0.400
Er  0.400  0.400  0.799
Er  0.400  0.799  0.400
Er  0.560  0.560  0.940
Er  0.560  0.940  0.560
Er  0.560  0.940  0.940
Er  0.799  0.400  0.400
Er  0.812  0.188  0.188
Er  0.812  0.188  0.812
Er  0.812  0.812  0.188
Er  0.940  0.560  0.560
Er  0.940  0.560  0.940
Er  0.940  0.940  0.560
In  0.167  0.167  0.167
In  0.167  0.167  0.500
In  0.167  0.500  0.167
In  0.500  0.167  0.167
Rh  0.176  0.608  0.608
Rh  0.608  0.176  0.608
Rh  0.608  0.608  0.176
Rh  0.608  0.608  0.608

Results
* total moment: 0.0 Bohr magnetons per cell


--- Q ---
Here is a geometry-optimized Er4InRh structure from the Alexandria database. Energies are from PBE-GGA.

Unit cell a=4.863 b=4.863 c=7.297 alpha=90.06 beta=90.06 gamma=90.00
Atoms (fractional coordinates):
Er  0.000  0.500  0.225
Er  0.000  0.500  0.775
Er  0.500  0.000  0.225
Er  0.500  0.000  0.775
In  0.000  0.000  0.500
Rh  0.500  0.500  0.000

Results
* total moment: 0.0 Bohr magnetons per cell


In meV/atom, relative to the most stable structure: P 0; Q 234.


--- P ---
Here is a geometry-optimized ErTmInRh structure from the Alexandria database. Energies are from PBE-GGA.

Unit cell a=3.492 b=3.492 c=7.445 alpha=90.00 beta=90.00 gamma=90.00
Atoms (fractional coordinates):
Er  0.000  0.000  0.000
Tm  0.000  0.000  0.434
In  0.500  0.500  0.715
Rh  0.500  0.500  0.220

Results
* total moment: 0.0 Bohr magnetons per cell


--- Q ---
Here is a geometry-optimized ErTmInRh structure from the Alexandria database. Energies are from PBE-GGA.

Unit cell a=5.039 b=5.039 c=5.039 alpha=60.00 beta=60.00 gamma=60.00
Atoms (fractional coordinates):
Er  0.000  0.000  0.000
Tm  0.500  0.500  0.500
In  0.750  0.750  0.750
Rh  0.250  0.250  0.250

Results
* total moment: 0.0 Bohr magnetons per cell


In meV/atom, relative to the most stable structure: P 0; Q 121.


--- P ---
Here is a geometry-optimized Er4InRu structure from the Alexandria database. Energies are from PBE-GGA.

Unit cell a=4.993 b=4.993 c=8.495 alpha=107.08 beta=107.08 gamma=59.85
Atoms (fractional coordinates):
Er  0.114  0.114  0.339
Er  0.365  0.365  0.094
Er  0.635  0.635  0.906
Er  0.886  0.886  0.661
In  0.500  0.500  0.500
Ru  0.000  0.000  0.000

Results
* total moment: 0.0 Bohr magnetons per cell


--- Q ---
Here is a geometry-optimized Er4InRu structure from the Alexandria database. Energies are from PBE-GGA.

Unit cell a=9.551 b=9.551 c=9.551 alpha=60.00 beta=60.00 gamma=60.00
Atoms (fractional coordinates):
Er  0.043  0.652  0.652
Er  0.059  0.059  0.441
Er  0.059  0.441  0.059
Er  0.059  0.441  0.441
Er  0.191  0.191  0.809
Er  0.191  0.809  0.191
Er  0.191  0.809  0.809
Er  0.441  0.059  0.059
Er  0.441  0.059  0.441
Er  0.441  0.441  0.059
Er  0.652  0.043  0.652
Er  0.652  0.652  0.043
Er  0.652  0.652  0.652
Er  0.809  0.191  0.191
Er  0.809  0.191  0.809
Er  0.809  0.809  0.191
In  0.417  0.417  0.417
In  0.417  0.417  0.748
In  0.417  0.748  0.417
In  0.748  0.417  0.417
Ru  0.418  0.861  0.861
Ru  0.861  0.418  0.861
Ru  0.861  0.861  0.418
Ru  0.861  0.861  0.861

Results
* total moment: 0.0 Bohr magnetons per cell


In meV/atom, relative to the most stable structure: P 191; Q 0.


--- P ---
Here is a geometry-optimized YErInRu structure from the Alexandria database. Energies are from PBE-GGA.

Unit cell a=5.045 b=5.045 c=5.045 alpha=60.00 beta=60.00 gamma=60.00
Atoms (fractional coordinates):
Y  0.000  0.000  0.000
Er  0.500  0.500  0.500
In  0.250  0.250  0.250
Ru  0.750  0.750  0.750

Results
* total moment: 0.0 Bohr magnetons per cell


--- Q ---
Here is a geometry-optimized YErInRu structure from the Alexandria database. Energies are from PBE-GGA.

Unit cell a=3.462 b=3.462 c=7.704 alpha=90.00 beta=90.00 gamma=90.00
Atoms (fractional coordinates):
Y  0.000  0.000  0.000
Er  0.000  0.000  0.573
In  0.500  0.500  0.289
Ru  0.500  0.500  0.780

Results
* total moment: 0.0 Bohr magnetons per cell


In meV/atom, relative to the most stable structure: P 126; Q 0.


--- P ---
Here is a geometry-optimized ErInSb2 structure from the Alexandria database. Energies are from PBE-GGA.

Unit cell a=5.088 b=5.088 c=4.061 alpha=90.00 beta=90.00 gamma=90.00
Atoms (fractional coordinates):
Er  0.000  0.000  0.000
In  0.500  0.500  0.000
Sb  0.000  0.500  0.500
Sb  0.500  0.000  0.500

Results
* total moment: 0.0 Bohr magnetons per cell


--- Q ---
Here is a geometry-optimized ErInSb2 structure from the Alexandria database. Energies are from PBE-GGA.

Unit cell a=7.777 b=7.777 c=7.777 alpha=32.17 beta=32.17 gamma=32.17
Atoms (fractional coordinates):
Er  0.000  0.000  0.000
In  0.500  0.500  0.500
Sb  0.249  0.249  0.249
Sb  0.751  0.751  0.751

Results
* total moment: 0.0 Bohr magnetons per cell


--- R ---
Here is a geometry-optimized ErInSb2 structure from the Alexandria database. Energies are from PBE-GGA.

Unit cell a=7.424 b=7.424 c=7.424 alpha=35.30 beta=35.30 gamma=35.30
Atoms (fractional coordinates):
Er  0.000  0.000  0.000
In  0.168  0.168  0.168
Sb  0.410  0.410  0.410
Sb  0.585  0.585  0.585

Results
* total moment: 0.0 Bohr magnetons per cell


In meV/atom, relative to the most stable structure: P 0; Q 35; R 70.